Entry from the Alexandria database: Ba2NiIr after structural relaxation (PBE-GGA).

Computed properties:
- M_tot (μB per atom) = 0.00
- polymorph energy (0 for the lowest one) (meV/atom) = 658.8
- energy relative to the elements (eV/atom) = 0.51
- VASP energy (eV for the cell shown) = -32.93

Unit cell a=8.2661 b=8.2661 c=6.7056 alpha=51.95 beta=51.95 gamma=90.00
Last column: nearest neighbours and their distance in Å.
Positions (direct):
Ir1 0.7500 0.2500 0.5000  4 Ba 3.03, 2 Ni 3.29
Ni1 0.5000 0.5000 0.0000  4 Ba 3.04, 2 Ir 3.29
Ba1 0.6257 0.1250 0.2500  2 Ir 3.03, 2 Ni 3.04, 2 Ba 3.29
Ba2 0.8750 0.8757 0.7500  2 Ir 3.03, 2 Ni 3.04, 2 Ba 3.29
Ir2 0.0000 0.0000 0.0000  4 Ba 3.03, 2 Ni 3.29
Ba3 0.3750 0.3743 0.7500  2 Ir 3.03, 2 Ni 3.04, 2 Ba 3.29
Ni2 0.2500 0.7500 0.5000  4 Ba 3.04, 2 Ir 3.29
Ba4 0.1243 0.6250 0.2500  2 Ir 3.03, 2 Ni 3.04, 2 Ba 3.29

Entry from the Alexandria database: Ba2NiIr after structural relaxation (PBE-GGA).

Computed properties:
- M_tot (μB per atom) = 0.20
- polymorph energy (0 for the lowest one) (meV/atom) = 462.2
- energy relative to the elements (eV/atom) = 0.31
- VASP energy (eV for the cell shown) = -17.25

Unit cell a=5.3930 b=5.3930 c=5.3930 alpha=60.00 beta=60.00 gamma=60.00
Last column: nearest neighbours and their distance in Å.
Positions (direct):
Ba1 0.2500 0.2500 0.2500  4 Ni 3.30, 4 Ir 3.30
Ni1 0.0000 0.0000 0.0000  8 Ba 3.30
Ir1 0.5000 0.5000 0.5000  8 Ba 3.30
Ba2 0.7500 0.7500 0.7500  4 Ni 3.30, 4 Ir 3.30

Entry from the Alexandria database: Ba2NiIr after structural relaxation (PBE-GGA).

Computed properties:
- M_tot (μB per atom) = 0.17
- polymorph energy (0 for the lowest one) (meV/atom) = 678.1
- energy relative to the elements (eV/atom) = 0.53
- VASP energy (eV for the cell shown) = -16.39

Unit cell a=5.2370 b=5.2370 c=5.2370 alpha=60.00 beta=60.00 gamma=60.00
Last column: nearest neighbours and their distance in Å.
Positions (direct):
Ir1 0.5000 0.5000 0.5000  4 Ba 3.21, 4 Ni 3.21
Ba1 0.0000 0.0000 0.0000  4 Ba 3.21, 4 Ni 3.21
Ni1 0.7500 0.7500 0.7500  4 Ba 3.21, 4 Ir 3.21
Ba2 0.2500 0.2500 0.2500  4 Ba 3.21, 4 Ir 3.21

The highest energy relative to the elements belongs to which entry? number 3

What did the third record say?
Entry from the Alexandria database: Ba2NiIr after structural relaxation (PBE-GGA).

Computed properties:
- M_tot (μB per atom) = 0.17
- polymorph energy (0 for the lowest one) (meV/atom) = 678.1
- energy relative to the elements (eV/atom) = 0.53
- VASP energy (eV for the cell shown) = -16.39

Unit cell a=5.2370 b=5.2370 c=5.2370 alpha=60.00 beta=60.00 gamma=60.00
Last column: nearest neighbours and their distance in Å.
Positions (direct):
Ir1 0.5000 0.5000 0.5000  4 Ba 3.21, 4 Ni 3.21
Ba1 0.0000 0.0000 0.0000  4 Ba 3.21, 4 Ni 3.21
Ni1 0.7500 0.7500 0.7500  4 Ba 3.21, 4 Ir 3.21
Ba2 0.2500 0.2500 0.2500  4 Ba 3.21, 4 Ir 3.21